Be2IrPbO8 | GGA-PBE | optimized geometry

Cell: 5.168 5.168 6.558 Å, 90.00 90.00 120.00°
Fractional positions:
Be  0.333  0.667  0.245
Be  0.667  0.333  0.755
Ir  0.000  0.000  0.500
Pb  0.000  0.000  0.000
O  0.164  0.329  0.323
O  0.164  0.836  0.323
O  0.329  0.164  0.677
O  0.333  0.667  0.998
O  0.667  0.333  0.002
O  0.671  0.836  0.323
O  0.836  0.164  0.677
O  0.836  0.671  0.677

Volume: 12.641 Å³ per atom
Space group: P-3m1
Size of the total moment: 1.9 μB per cell
Raw formation energy: -0.925 eV/atom

***

Ce8C3SI4 | GGA-PBE | optimized geometry

Cell: 8.948 8.948 8.948 Å, 51.52 51.52 51.52°
Fractional positions:
Ce  0.205  0.737  0.737
Ce  0.224  0.224  0.224
Ce  0.263  0.263  0.795
Ce  0.263  0.795  0.263
Ce  0.737  0.205  0.737
Ce  0.737  0.737  0.205
Ce  0.776  0.776  0.776
Ce  0.795  0.263  0.263
C  0.000  0.000  0.500
C  0.000  0.500  0.000
C  0.500  0.000  0.000
S  0.500  0.500  0.500
I  0.000  0.000  0.000
I  0.000  0.500  0.500
I  0.500  0.000  0.500
I  0.500  0.500  0.000

Volume: 25.338 Å³ per atom
Space group: R-3m
Size of the total moment: 6.8 μB per cell
Raw formation energy: -0.827 eV/atom

***

Ba2FeAu | GGA-PBE | optimized geometry

Cell: 6.687 6.687 6.687 Å, 139.14 139.14 59.17°
Fractional positions:
Ba  0.000  0.000  0.000
Ba  0.750  0.250  0.500
Fe  0.250  0.750  0.500
Au  0.500  0.500  0.000

Volume: 31.690 Å³ per atom
Energy of formation: 0.277 eV/atom
E above lowest polymorph: 6.41 kcal/mol of atoms
Space group: I-4m2
Size of the total moment: 2.1 μB per cell

***

Mg12In5Ga2 | GGA-PBE | optimized geometry

Cell: 8.449 8.449 9.491 Å, 100.39 100.39 46.19°
Fractional positions:
Mg  0.006  0.006  0.196
Mg  0.062  0.575  0.852
Mg  0.132  0.599  0.377
Mg  0.401  0.868  0.623
Mg  0.425  0.938  0.148
Mg  0.468  0.468  0.701
Mg  0.532  0.532  0.299
Mg  0.575  0.062  0.852
Mg  0.599  0.132  0.377
Mg  0.868  0.401  0.623
Mg  0.938  0.425  0.148
Mg  0.994  0.994  0.804
In  0.000  0.000  0.500
In  0.277  0.277  0.573
In  0.346  0.346  0.112
In  0.654  0.654  0.888
In  0.723  0.723  0.427
Ga  0.307  0.693  0.000
Ga  0.693  0.307  0.000

Volume: 25.232 Å³ per atom
Energy of formation: 0.038 eV/atom
E above lowest polymorph: 2.07 kcal/mol of atoms
Space group: C2/m
Size of the total moment: 0.0 μB per cell

***

CoNiW2 | GGA-PBE | optimized geometry

Cell: 4.707 4.707 4.707 Å, 133.21 133.21 68.32°
Fractional positions:
Co  0.000  0.000  0.000
Ni  0.250  0.750  0.500
W  0.500  0.500  0.000
W  0.750  0.250  0.500

Volume: 13.604 Å³ per atom
Energy of formation: 0.195 eV/atom
E above lowest polymorph: 3.57 kcal/mol of atoms
Space group: I-4m2
Size of the total moment: 1.9 μB per cell

***

AcTbPmTh | GGA-PBE | optimized geometry

Cell: 3.693 3.693 10.467 Å, 90.00 90.00 90.00°
Fractional positions:
Ac  0.000  0.000  0.000
Tb  0.500  0.500  0.268
Pm  0.500  0.500  0.724
Th  0.000  0.000  0.494

Volume: 35.697 Å³ per atom
Energy of formation: 0.043 eV/atom
E above lowest polymorph: 0.00 kcal/mol of atoms
Space group: P4mm
Size of the total moment: 0.0 μB per cell

***

The highest volume belongs to which entry? AcTbPmTh